This record from the Open Quantum Materials Database describes a relaxed structure of LuTlNiS3. The functional is PBE.

Results
total energy: -5.18 eV per atom
symmetry: P2_1/m, No. 11
relative energy among the computed polymorphs: 0.000 kcal/mol of atoms

Geometry as POSCAR:
```
LuTlNiS3
1.0
8.7348 0.0000 0.0000
0.0000 3.8313 0.0000
-2.9201 0.0000 8.6306
Lu Tl Ni S
2 2 2 6
Cartesian
1.0727 0.9578 1.2409
4.7419 2.8735 7.3896
0.3205 2.8735 6.6951
5.4941 0.9578 1.9355
2.4910 2.8735 3.4750
3.3236 0.9578 5.1556
-2.1321 0.9578 7.2445
1.4393 0.9578 3.9891
2.9266 2.8735 1.2347
2.8881 0.9578 7.3958
4.3754 2.8735 4.6414
7.9468 2.8735 1.3860
```